1.
The following is a PBE-GGA calculation of a geometry-optimized TcTeOs2 structure, from the Alexandria database.

**Theoretical density**: 15.5 g/cm3
**Uncorrected formation energy**: 0.585 eV/atom
**Crystal system**: orthorhombic
**DOS(E_F)**: 3.34 states/eV/f.u.
**Energy above the most stable polymorph in this dataset**: 14 meV/atom
**Space group**: Amm2
**VASP energy**: -33.63 eV per cell

extended XYZ file:
```
4
Lattice="4.0612 0.0000 0.0000 0.0000 2.8914 -0.0009 0.0000 1.4429 5.5351" Properties=species:S:1:pos:R:3 pbc="T T T"
Os 0.0000 2.3478 0.1693
Os 2.0306 0.9023 1.3812
Tc 0.0000 2.3480 2.7536
Te 2.0306 3.7946 3.9963
```

2.
The following is a PBE-GGA calculation of a geometry-optimized Al2TlPt structure, from the Alexandria database.

**Theoretical density**: 9.5 g/cm3
**Crystal system**: orthorhombic
**DOS(E_F)**: 1.26 states/eV/f.u.
**DFT formation energy**: -0.2073 eV per atom
**Energy above the most stable polymorph in this dataset**: 133 meV/atom
**Space group**: Pmm2
**VASP energy**: -16.72 eV per cell

extended XYZ file:
```
4
Lattice="3.0889 0.0000 0.0000 0.0000 3.5939 0.0000 0.0000 0.0000 7.1541" Properties=species:S:1:pos:R:3 pbc="T T T"
Tl 1.5444 1.7969 5.3140
Al 0.0000 0.0000 0.3804
Al 1.5444 1.7969 2.0339
Pt 0.0000 0.0000 3.0029
```

3.
The following is a PBE-GGA calculation of a geometry-optimized K3Tc2BiO9 structure, from the Alexandria database.

**Theoretical density**: 5.2 g/cm3
**Uncorrected formation energy**: -1.454 eV/atom
**Crystal system**: trigonal
**DOS(E_F)**: 7.07 states/eV/f.u.
**Space group**: P-3m1
**VASP energy**: -94.33 eV per cell

extended XYZ file:
```
15
Lattice="-4.8119 -0.3576 3.2276 0.9857 -3.9022 -4.1834 3.5197 -4.2335 4.7782" Properties=species:S:1:pos:R:3 pbc="T T T"
K 1.4240 -5.5723 1.5055
K 0.0000 0.0000 0.0000
K -1.7305 -2.9210 2.3169
Tc -0.4083 -3.3684 -0.9820
Tc 0.1018 -5.1249 4.8044
Bi 1.7598 -2.1167 2.3891
O -1.3111 -3.9506 5.2267
O -0.8583 -5.7434 3.3046
O 0.8997 -3.7862 3.7437
O -1.2062 -4.7071 0.0787
O 0.5517 -2.7499 0.5178
O 1.0046 -4.5428 -1.4042
O -2.4059 -0.1788 1.6138
O 0.4928 -1.9511 -2.0917
O -1.9131 -2.1299 -0.4779
```

4.
The following is a PBE-GGA calculation of a geometry-optimized Sc2TiPdO structure, from the Alexandria database.

**Theoretical density**: 5.5 g/cm3
**Uncorrected formation energy**: -1.446 eV/atom
**Crystal system**: tetragonal
**DOS(E_F)**: 5.01 states/eV/f.u.
**Space group**: P4/mmm
**VASP energy**: -37.94 eV per cell

extended XYZ file:
```
5
Lattice="4.3635 0.0000 0.0000 0.0000 4.3635 0.0000 0.0000 0.0000 4.1092" Properties=species:S:1:pos:R:3 pbc="T T T"
Sc 0.0000 2.1818 0.0000
Sc 2.1818 0.0000 0.0000
O 0.0000 0.0000 0.0000
Pd 2.1818 2.1818 2.0546
Ti 0.0000 0.0000 2.0546
```

What did the first record say?
The following is a PBE-GGA calculation of a geometry-optimized TcTeOs2 structure, from the Alexandria database.

**Theoretical density**: 15.5 g/cm3
**Uncorrected formation energy**: 0.585 eV/atom
**Crystal system**: orthorhombic
**DOS(E_F)**: 3.34 states/eV/f.u.
**Energy above the most stable polymorph in this dataset**: 14 meV/atom
**Space group**: Amm2
**VASP energy**: -33.63 eV per cell

extended XYZ file:
```
4
Lattice="4.0612 0.0000 0.0000 0.0000 2.8914 -0.0009 0.0000 1.4429 5.5351" Properties=species:S:1:pos:R:3 pbc="T T T"
Os 0.0000 2.3478 0.1693
Os 2.0306 0.9023 1.3812
Tc 0.0000 2.3480 2.7536
Te 2.0306 3.7946 3.9963
```

Q: DOS(E_F) of number 2 (Al2TlPt)?
A: 1.26 states/eV/f.u.